Material: AlCo3Tc
Method: DFT, PBE
State: optimized geometry

Cell lengths 4.3707, 4.3707, 4.3707 Å; angles 90.00, 90.00, 90.00 degrees
Closest atoms and distances in Å follow each position.
Sites, in units of the cell vectors:
Tc1 0.0000 0.0000 0.0000  6 Co 2.19
Co1 0.0000 0.5000 0.0000  2 Tc 2.19
Co2 0.5000 0.0000 0.0000  2 Tc 2.19
Co3 0.0000 0.0000 0.5000  2 Tc 2.19
Al1 0.5000 0.5000 0.5000  12 Co 3.09

Space group: Pm-3m
Electronic total energy: -5.764 eV/atom